<w>
## YAl2Cl (PBE-GGA)

Data for a geometry-optimized YAl2Cl structure.

Summary:
The calculation puts the total magnetization at 0.0 Bohr magnetons per cell. Its space group is Immm, No. 71.

Cell: 6.832 6.832 6.832 Å, 152.26 142.32 47.43°
Positions (direct):
Al 0.024 0.024 0.000
Al 0.476 0.476 0.000
Cl 0.750 0.250 0.500
Y 0.250 0.750 0.500

<x>
## YAl2Cl (PBE-GGA)

Data for a geometry-optimized YAl2Cl structure.

Summary:
The calculation puts the total magnetization at 0.0 Bohr magnetons per cell. Its space group is Pm, No. 6.

Cell: 5.062 3.486 5.282 Å, 89.45 90.00 90.00°
Positions (direct):
Al 0.000 0.211 0.012
Al 0.500 0.128 0.210
Y 0.500 0.629 0.723
Cl 0.000 0.532 0.555

<y>
## YAl2Cl (PBE-GGA)

Data for a geometry-optimized YAl2Cl structure.

Summary:
The calculation puts the total magnetization at 0.0 Bohr magnetons per cell. Its space group is R-3m, No. 166.

Cell: 9.300 9.300 9.300 Å, 20.80 20.80 20.80°
Positions (direct):
Cl 0.250 0.250 0.250
Y 0.750 0.750 0.750
Al 0.507 0.507 0.507
Al 0.993 0.993 0.993

<z>
## YAl2Cl (PBE-GGA)

Data for a geometry-optimized YAl2Cl structure.

Summary:
The calculation puts the total magnetization at 0.0 Bohr magnetons per cell. Its space group is P2/m, No. 10.

Cell: 5.153 3.505 6.245 Å, 57.58 90.00 90.00°
Positions (direct):
Al 0.000 0.484 0.509
Al 0.000 0.016 0.991
Y 0.500 0.750 0.750
Cl 0.500 0.250 0.250

Relative energies in meV per atom: <w> 0; <x> 80; <y> 294; <z> 97

<w>
## YAl2Cl (PBE-GGA)

Data for a geometry-optimized YAl2Cl structure.

Summary:
The calculation puts the total magnetization at 0.0 Bohr magnetons per cell. Its space group is C2/m, No. 12.

Cell: 6.446 5.554 3.333 Å, 89.70 59.47 115.33°
Positions (direct):
Y 0.500 0.500 0.000
Al 0.000 0.000 0.000
Al 0.500 0.000 0.500
Cl 0.000 0.500 0.500

<x>
## YAl2Cl (PBE-GGA)

Data for a geometry-optimized YAl2Cl structure.

Summary:
The calculation puts the total magnetization at 0.0 Bohr magnetons per cell. Its space group is C2/m, No. 12.

Cell: 6.259 6.259 4.423 Å, 82.70 82.70 30.80°
Positions (direct):
Al 0.487 0.487 0.516
Al 0.013 0.013 0.984
Cl 0.250 0.250 0.250
Y 0.750 0.750 0.750

<y>
## YAl2Cl (PBE-GGA)

Data for a geometry-optimized YAl2Cl structure.

Summary:
The calculation puts the total magnetization at 0.0 Bohr magnetons per cell. Its space group is Imm2, No. 44.

Cell: 6.061 6.061 6.061 Å, 148.84 124.71 64.84°
Positions (direct):
Al 0.763 0.263 0.500
Al 0.998 0.998 0.000
Y 0.265 0.765 0.500
Cl 0.474 0.474 0.000

Relative energies in meV per atom: <w> 214; <x> 0; <y> 126

<w>
## Al2ZnCl (PBE-GGA)

Data for a geometry-optimized Al2ZnCl structure.

Summary:
The calculation puts the total magnetization at 0.0 Bohr magnetons per cell. Its space group is I4/mmm, No. 139.

Cell: 5.333 5.333 5.333 Å, 133.22 133.22 68.31°
Positions (direct):
Al 0.500 0.500 0.000
Al 0.000 0.000 0.000
Cl 0.250 0.750 0.500
Zn 0.750 0.250 0.500

<x>
## Al2ZnCl (PBE-GGA)

Data for a geometry-optimized Al2ZnCl structure.

Summary:
The calculation puts the total magnetization at 0.0 Bohr magnetons per cell. Its space group is Immm, No. 71.

Cell: 5.531 5.531 5.531 Å, 147.90 123.56 66.43°
Positions (direct):
Cl 0.250 0.750 0.500
Al 0.997 0.997 0.000
Al 0.503 0.503 0.000
Zn 0.750 0.250 0.500

<y>
## Al2ZnCl (PBE-GGA)

Data for a geometry-optimized Al2ZnCl structure.

Summary:
The calculation puts the total magnetization at 0.0 Bohr magnetons per cell. Its space group is F-43m, No. 216.

Cell: 4.821 4.821 4.821 Å, 60.00 60.00 60.00°
Positions (direct):
Al 0.250 0.250 0.250
Al 0.000 0.000 0.000
Cl 0.500 0.500 0.500
Zn 0.750 0.750 0.750

<z>
## Al2ZnCl (PBE-GGA)

Data for a geometry-optimized Al2ZnCl structure.

Summary:
The calculation puts the total magnetization at 0.0 Bohr magnetons per cell. Its space group is Cmm2, No. 35.

Cell: 3.087 3.087 10.029 Å, 90.00 90.00 120.50°
Positions (direct):
Al 0.000 0.000 0.022
Al 0.500 0.500 0.252
Zn 0.500 0.500 0.796
Cl 0.000 0.000 0.431

Relative energies in meV per atom: <w> 225; <x> 84; <y> 330; <z> 0